Ba4TcIr: optimized geometry, PBE.

Unit cell a=6.715 b=6.715 c=6.715 alpha=60.00 beta=60.00 gamma=60.00
Last column: magnetic moment on the atom in μB.
Positions (direct):
Ba (0.873, 0.376, 0.376)  -0.10
Ba (0.376, 0.376, 0.873)  -0.10
Ba (0.376, 0.873, 0.376)  -0.10
Ba (0.376, 0.376, 0.376)  -0.10
Tc (0.000, 0.000, 0.000)  2.83
Ir (0.750, 0.750, 0.750)  0.39

Values from the calculation:
ΔE_f, meV/atom: 1464
Mass density, g cm⁻³: 6.5
Final energy, eV/atom: -3.023
Space group: F-43m, No. 216

***

Ba2TcIr: optimized geometry, PBE.

Unit cell a=3.574 b=3.574 c=9.782 alpha=90.00 beta=90.00 gamma=96.93
Positions (direct):
Ba (0.000, 0.000, 0.914)
Ba (0.500, 0.500, 0.341)
Ir (0.000, 0.000, 0.584)
Tc (0.500, 0.500, 0.661)

Values from the calculation:
ΔE_f, meV/atom: 405
Mass density, g cm⁻³: 7.6
Excess energy over the best structure of this formula in the dataset, meV per atom: 324
Final energy, eV/atom: -5.363
Space group: Cmm2, No. 35

***

Ba2TcIr: optimized geometry, PBE.

Unit cell a=4.079 b=4.156 c=7.895 alpha=58.14 beta=90.00 gamma=90.00
Last column: magnetic moment on the atom in μB.
Positions (direct):
Ba (0.000, 0.989, 0.010)  -0.02
Ba (0.000, 0.511, 0.490)  -0.02
Ir (0.500, 0.250, 0.250)  0.39
Tc (0.500, 0.750, 0.750)  2.56

Values from the calculation:
ΔE_f, meV/atom: 922
Mass density, g cm⁻³: 8.3
Excess energy over the best structure of this formula in the dataset, meV per atom: 841
Final energy, eV/atom: -4.846
Space group: P2/m, No. 10

***

Ba2TcIr: optimized geometry, PBE.

Unit cell a=5.716 b=5.716 c=5.716 alpha=129.13 beta=129.13 gamma=74.80
Last column: magnetic moment on the atom in μB.
Positions (direct):
Ba (0.000, 0.000, 0.000)  -0.02
Ba (0.500, 0.500, 0.000)  -0.02
Ir (0.250, 0.750, 0.500)  0.25
Tc (0.750, 0.250, 0.500)  2.29

Values from the calculation:
ΔE_f, meV/atom: 942
Mass density, g cm⁻³: 8.6
Excess energy over the best structure of this formula in the dataset, meV per atom: 860
Final energy, eV/atom: -4.826
Space group: I4/mmm, No. 139

***

Ba2TcIr: optimized geometry, PBE.

Unit cell a=4.328 b=5.091 c=6.367 alpha=66.44 beta=90.00 gamma=90.00
Positions (direct):
Ba (0.000, 0.981, 0.913)
Ba (0.500, 0.267, 0.341)
Ir (0.000, 0.670, 0.535)
Tc (0.500, 0.582, 0.711)

Values from the calculation:
ΔE_f, meV/atom: 220
Mass density, g cm⁻³: 7.3
Excess energy over the best structure of this formula in the dataset, meV per atom: 139
Final energy, eV/atom: -5.548
Space group: Amm2, No. 38

***

Ba2TcIr: optimized geometry, PBE.

Unit cell a=5.475 b=5.475 c=5.475 alpha=60.00 beta=60.00 gamma=60.00
Last column: magnetic moment on the atom in μB.
Positions (direct):
Ir (0.500, 0.500, 0.500)  0.66
Ba (0.250, 0.250, 0.250)  -0.01
Ba (0.750, 0.750, 0.750)  -0.01
Tc (0.000, 0.000, 0.000)  2.89

Values from the calculation:
ΔE_f, meV/atom: 958
Mass density, g cm⁻³: 8.1
Excess energy over the best structure of this formula in the dataset, meV per atom: 876
Final energy, eV/atom: -4.810
Space group: Fm-3m, No. 225

***

Ba2TcIr: optimized geometry, PBE.

Unit cell a=3.540 b=3.541 c=9.795 alpha=90.00 beta=90.00 gamma=90.00
Positions (direct):
Ba (0.000, 0.000, 0.917)
Ba (0.500, 0.500, 0.339)
Ir (0.000, 0.000, 0.585)
Tc (0.500, 0.500, 0.659)

Values from the calculation:
ΔE_f, meV/atom: 417
Mass density, g cm⁻³: 7.6
Excess energy over the best structure of this formula in the dataset, meV per atom: 335
Final energy, eV/atom: -5.351
Space group: P4mm, No. 99

***

Ba2Tc2Ir: optimized geometry, PBE.

Unit cell a=9.327 b=9.327 c=3.127 alpha=90.00 beta=90.00 gamma=90.00
Last column: magnetic moment on the atom in μB.
Positions (direct):
Ir (0.000, 0.000, 0.000)  0.86
Ir (0.500, 0.500, 0.000)  0.86
Ba (0.294, 0.794, 0.000)  -0.02
Ba (0.794, 0.706, 0.000)  -0.02
Ba (0.706, 0.206, 0.000)  -0.02
Ba (0.206, 0.294, 0.000)  -0.02
Tc (0.081, 0.581, 0.500)  0.19
Tc (0.581, 0.919, 0.500)  0.19
Tc (0.919, 0.419, 0.500)  0.19
Tc (0.419, 0.081, 0.500)  0.19

Values from the calculation:
ΔE_f, meV/atom: 1332
Mass density, g cm⁻³: 8.1
Excess energy over the best structure of this formula in the dataset, meV per atom: 787
Final energy, eV/atom: -5.356
Space group: P4/mbm, No. 127

***

Ba2Tc2Ir: optimized geometry, PBE.

Unit cell a=3.536 b=3.536 c=10.651 alpha=80.44 beta=80.44 gamma=90.00
Positions (direct):
Ir (0.000, 0.000, 0.000)
Ba (0.404, 0.404, 0.191)
Ba (0.596, 0.596, 0.809)
Tc (0.750, 0.250, 0.500)
Tc (0.250, 0.750, 0.500)

Values from the calculation:
ΔE_f, meV/atom: 544
Mass density, g cm⁻³: 8.5
Excess energy over the best structure of this formula in the dataset, meV per atom: 0
Final energy, eV/atom: -6.143
Space group: I4/mmm, No. 139

***

Ba2TcIr: optimized geometry, PBE.

Unit cell a=11.792 b=11.792 c=8.672 alpha=47.16 beta=47.16 gamma=90.00
Last column: magnetic moment on the atom in μB.
Positions (direct):
Ir (0.000, 0.000, 0.000)  0.11
Ir (0.750, 0.250, 0.500)  0.11
Ba (0.797, 0.125, 0.250)  -0.02
Ba (0.953, 0.625, 0.250)  -0.02
Ba (0.375, 0.203, 0.750)  -0.02
Ba (0.875, 0.047, 0.750)  -0.02
Tc (0.500, 0.500, 0.000)  1.47
Tc (0.250, 0.750, 0.500)  1.48

Values from the calculation:
ΔE_f, meV/atom: 539
Mass density, g cm⁻³: 5.7
Excess energy over the best structure of this formula in the dataset, meV per atom: 457
Final energy, eV/atom: -5.230
Space group: I-42d, No. 122

***

Ba2TcIr: optimized geometry, PBE.

Unit cell a=7.124 b=7.124 c=7.124 alpha=145.58 beta=138.42 gamma=55.04
Positions (direct):
Ba (0.010, 0.010, 0.000)
Ba (0.743, 0.243, 0.500)
Ir (0.416, 0.416, 0.000)
Tc (0.331, 0.831, 0.500)

Values from the calculation:
ΔE_f, meV/atom: 294
Mass density, g cm⁻³: 7.0
Excess energy over the best structure of this formula in the dataset, meV per atom: 212
Final energy, eV/atom: -5.474
Space group: Imm2, No. 44

***

Ba2TcIr: optimized geometry, PBE.

Unit cell a=5.191 b=5.191 c=4.239 alpha=89.99 beta=89.99 gamma=101.26
Last column: magnetic moment on the atom in μB.
Positions (direct):
Ba (0.000, 0.000, 0.000)  -0.03
Ba (0.500, 0.500, 0.000)  -0.03
Ir (0.500, 0.000, 0.500)  0.42
Tc (0.000, 0.500, 0.500)  2.47

Values from the calculation:
ΔE_f, meV/atom: 908
Mass density, g cm⁻³: 8.4
Excess energy over the best structure of this formula in the dataset, meV per atom: 826
Final energy, eV/atom: -4.860
Space group: Cmmm, No. 65